*1*
The following is a DFT calculation (GGA+U) of a relaxed GaNi2F2 crystal.

a = 3.3877 Å, b = 3.3877 Å, c = 12.8814 Å
α = 90.00°, β = 90.00°, γ = 90.00°
Last column: nearest neighbours and their distance in Å.
Space group I4/mmm (No. 139)
One atom of each set of equivalent atoms:
Ga 0.0000 0.0000 0.0000 x2  8 F 2.79
Ni 0.0000 0.5000 0.2500 x4  4 Ni 2.40, 4 F 2.47
F 0.0000 0.0000 0.3890 x4  4 Ni 2.47

Summary:
* DOS at the Fermi energy: 1.5 states/eV/f.u.
* total magnetization: 2.107 μB/f.u.

*2*
The following is a DFT calculation (GGA+U) of a relaxed GaNi2F2 crystal.

a = 6.6756 Å, b = 6.6756 Å, c = 2.7834 Å
α = 90.00°, β = 90.00°, γ = 90.00°
Last column: nearest neighbours and their distance in Å.
Space group P4/mbm (No. 127)
One atom of each set of equivalent atoms:
Ga 0.0000 0.0000 0.0000 x2  4 F 2.60, 2 Ga 2.78, 8 Ni 2.81
Ni 0.1839 0.3161 0.5000 x4  2 F 2.20
F 0.1353 0.6353 0.0000 x4  2 Ni 2.20

Summary:
* DOS at the Fermi energy: 1.1 states/eV/f.u.
* total magnetization: 2.119 μB/f.u.

Last place for stability: *1*